Here is a geometry-optimized SrLi2SiCl structure from the Alexandria database. Energies are from PBE-GGA.

**Total magnetic moment**: 0.76 μB per formula unit
**Formation energy without anion corrections**: -0.525 eV/atom

Cell and atoms, written as POSCAR:
```
SrLi2SiCl
1.0
-1.9704 1.6066 4.0989
0.8686 -5.4843 2.5671
4.3490 1.4088 1.5383
Li Cl Si Sr
2 1 1 1
Direct
0.5000 0.0000 0.0000
0.0000 0.0000 0.5000
0.5000 0.5000 0.5000
0.0000 0.0000 0.0000
0.0000 0.5000 0.0000
```